VASP calculation (PBE-GGA) on crystalline In2HgSeS3 at its relaxed geometry.

VASP energy in eV/f.u.: -24.78

Cell lengths 5.8312, 5.8688, 6.9453 Å; angles 113.93, 113.87, 90.85 degrees
Last column: nearest neighbours and their distance in Å.
Sites, in units of the cell vectors:
In1 0.0000 0.0000 0.0000  3 S 2.50-2.51, 1 Se 2.63
In2 0.2542 0.7601 0.5060  3 S 2.50-2.51, 1 Se 2.63
Hg1 0.7553 0.2568 0.5045  3 S 2.60-2.61, 1 Se 2.69
Se1 0.3822 0.3963 0.2176  2 In 2.63, 1 Hg 2.69
S1 0.1541 0.6372 0.7736  2 In 2.50-2.51, 1 Hg 2.61
S2 0.6222 0.1400 0.7735  2 In 2.51, 1 Hg 2.60
S3 0.8691 0.8571 0.2416  2 In 2.50-2.51, 1 Hg 2.61